# TlPO4, relaxed, DFT GGA-PBEsol
data_TlPO4
_symmetry_space_group_name_H-M 'P 1'
_symmetry_Int_Tables_number 1
_cell_length_a 4.5392
_cell_length_b 4.8011
_cell_length_c 12.5005
_cell_angle_alpha 90.03
_cell_angle_beta 90.00
_cell_angle_gamma 90.00
loop_
_symmetry_equiv_pos_as_xyz
'x,y,z'
loop_
_atom_site_label
_atom_site_type_symbol
_atom_site_fract_x
_atom_site_fract_y
_atom_site_fract_z
_atom_site_occupancy
Tl1 Tl 0.0001 0.7498 0.8758 1
Tl2 Tl 0.5001 0.2502 0.6242 1
Tl3 Tl 0.9999 0.2502 0.1242 1
Tl4 Tl 0.4999 0.7498 0.3758 1
P1 P 0.0001 0.7502 0.6162 1
P2 P 0.5001 0.2498 0.8838 1
P3 P 0.9999 0.2498 0.3838 1
P4 P 0.4999 0.7502 0.1162 1
O1 O 0.7613 0.5978 0.5488 1
O2 O 0.2613 0.4022 0.9512 1
O3 O 0.2387 0.4022 0.4512 1
O4 O 0.7387 0.5978 0.0488 1
O5 O 0.8458 0.9654 0.6906 1
O6 O 0.3458 0.0346 0.8094 1
O7 O 0.1542 0.0346 0.3094 1
O8 O 0.6542 0.9654 0.1906 1
O9 O 0.1544 0.5353 0.6906 1
O10 O 0.6544 0.4647 0.8094 1
O11 O 0.8456 0.4647 0.3094 1
O12 O 0.3456 0.5353 0.1906 1
O13 O 0.2389 0.9024 0.5487 1
O14 O 0.7389 0.0976 0.9513 1
O15 O 0.7611 0.0976 0.4513 1
O16 O 0.2611 0.9024 0.0487 1
# V: 11.351 Å³ per atom
# magnetization: 0.0 μB per formula unit
# ρ: 7.30 g cm⁻³
# electronic total energy: -6.467 eV/atom
# symmetry: Pbcn, No. 60